No. 1
The following is a DFT calculation (GGA-PBEsol) of Cd2InSe after structural relaxation.

Summary:
Volume, A^3/atom: 23.6
Energy, eV per atom: -2.378

Lattice parameters (Å, degrees): 3.848 4.231 11.589 90.00 90.00 90.00
Fractional coordinates of all 8 atoms:
Cd 0.000 0.000 0.000
Cd 0.000 0.500 0.228
Cd 0.500 0.000 0.728
Cd 0.500 0.500 0.500
In 0.000 0.500 0.804
In 0.500 0.000 0.304
Se 0.000 0.000 0.534
Se 0.500 0.500 0.034

No. 2
The following is a DFT calculation (GGA-PBEsol) of TaSe5 after structural relaxation.

Summary:
Volume, A^3/atom: 18.8
Energy, eV per atom: -5.137

Lattice parameters (Å, degrees): 5.168 5.168 4.874 90.00 90.00 120.00
Fractional coordinates of all 6 atoms:
Ta 0.000 0.000 0.000
Se 0.000 0.711 0.500
Se 0.289 0.289 0.500
Se 0.333 0.667 0.000
Se 0.667 0.333 0.000
Se 0.711 0.000 0.500